# ErSc2Cu GGA-PBE optimized geometry
data_ErSc2Cu
_space_group_name_H-M_alt 'R 3 m'
_space_group_IT_number 160
_space_group_name_Hall 'R 3 -2"'
_cell_length_a 3.4347
_cell_length_b 3.4347
_cell_length_c 27.6825
_cell_angle_alpha 90.00
_cell_angle_beta 90.00
_cell_angle_gamma 120.00
loop_
_atom_site_label
_atom_site_fract_x
_atom_site_fract_y
_atom_site_fract_z
Er1 0.0000 0.0000 0.0000
Sc1 0.0000 0.0000 0.5658
Sc2 0.0000 0.0000 0.7645
Cu1 0.0000 0.0000 0.1644
# uncorrected energy = -5.287 eV per atom
# E_form = 0.17 eV per formula unit
# volume = 282.8 Å³/cell